NdTl2Pd7: optimized geometry, PBE.

Values from the calculation:
* magnetization: 0.00 μB/cell
* symmetry: Cmmm (65)
* VASP energy: -4.6089 eV per atom
* energy of formation from the pure elements: -2.3 kJ per mole of atoms

Cell lengths 8.0554, 8.0554, 4.4269 Å; angles 90.00, 90.00, 125.86 degrees
Last column: nearest neighbours and their distance in Å.
Sites, in units of the cell vectors:
Nd1 0.0000 0.0000 0.0000  10 Pd 2.76-2.98
Tl1 0.3017 0.6983 0.5000  5 Pd 2.70-2.84
Tl2 0.6983 0.3017 0.5000  5 Pd 2.70-2.84
Pd1 0.0799 0.2860 0.5000  5 Pd 2.68-2.96, 1 Tl 2.70, 2 Nd 2.98
Pd2 0.1924 0.8076 0.0000  2 Tl 2.71, 1 Nd 2.76, 4 Pd 2.89
Pd3 0.2860 0.0799 0.5000  5 Pd 2.68-2.96, 1 Tl 2.70, 2 Nd 2.98
Pd4 0.5000 0.5000 0.5000  4 Pd 2.75, 2 Tl 2.84
Pd5 0.7140 0.9201 0.5000  5 Pd 2.68-2.96, 1 Tl 2.70, 2 Nd 2.98
Pd6 0.8076 0.1924 0.0000  2 Tl 2.71, 1 Nd 2.76, 4 Pd 2.89
Pd7 0.9201 0.7140 0.5000  5 Pd 2.68-2.96, 1 Tl 2.70, 2 Nd 2.98